# 1
The following is a DFT calculation (PBE) of LiHf2AgH after structural relaxation.

Lattice parameters (Å, degrees): 4.2952 4.2952 4.2071 90.00 90.00 90.00
Closest atoms and distances in Å follow each position.
Space group P4/mmm (No. 123)
Symmetry-distinct sites (fractional):
Li (0.0000, 0.0000, 0.0000)  2 H 2.10
Hf (0.0000, 0.5000, 0.5000)  2 H 2.15
Ag (0.5000, 0.5000, 0.0000)  8 Hf 3.01, 4 Li 3.04
H (0.0000, 0.0000, 0.5000)  2 Li 2.10, 4 Hf 2.15

Density of states at the Fermi level   1.063 states/eV/atom
Electronic total energy   -28.03 eV for the cell shown

# 2
The following is a DFT calculation (PBE) of HfMg2AgH after structural relaxation.

Lattice parameters (Å, degrees): 4.4930 4.4930 4.0389 90.00 90.00 90.00
Closest atoms and distances in Å follow each position.
Space group P4/mmm (No. 123)
Symmetry-distinct sites (fractional):
Hf (0.0000, 0.0000, 0.0000)  2 H 2.02
Mg (0.0000, 0.5000, 0.5000)  2 H 2.25
Ag (0.5000, 0.5000, 0.0000)  8 Mg 3.02, 4 Hf 3.18
H (0.0000, 0.0000, 0.5000)  2 Hf 2.02, 4 Mg 2.25

Density of states at the Fermi level   0.500 states/eV/atom
Electronic total energy   -19.45 eV for the cell shown

# 3
The following is a DFT calculation (PBE) of Hf2MnAgH after structural relaxation.

Lattice parameters (Å, degrees): 4.5472 4.5472 3.5362 90.00 90.00 90.00
Closest atoms and distances in Å follow each position.
Space group P4/mmm (No. 123)
Symmetry-distinct sites (fractional):
Hf (0.0000, 0.5000, 0.0000)  2 H 2.27
Mn (0.0000, 0.0000, 0.5000)  2 H 1.77
Ag (0.5000, 0.5000, 0.5000)  8 Hf 2.88, 4 Mn 3.22
H (0.0000, 0.0000, 0.0000)  2 Mn 1.77

Density of states at the Fermi level   0.632 states/eV/atom
Electronic total energy   -35.57 eV for the cell shown

- Among the records above, which one has the highest density of states at the Fermi level?
  LiHf2AgH

- What is the density of states at the Fermi level in the first record?
  1.063 states/eV/atom

Repeat the first record exactly.
The following is a DFT calculation (PBE) of LiHf2AgH after structural relaxation.

Lattice parameters (Å, degrees): 4.2952 4.2952 4.2071 90.00 90.00 90.00
Closest atoms and distances in Å follow each position.
Space group P4/mmm (No. 123)
Symmetry-distinct sites (fractional):
Li (0.0000, 0.0000, 0.0000)  2 H 2.10
Hf (0.0000, 0.5000, 0.5000)  2 H 2.15
Ag (0.5000, 0.5000, 0.0000)  8 Hf 3.01, 4 Li 3.04
H (0.0000, 0.0000, 0.5000)  2 Li 2.10, 4 Hf 2.15

Density of states at the Fermi level   1.063 states/eV/atom
Electronic total energy   -28.03 eV for the cell shown